{
  "formula": "AlNiClO2",
  "functional": "PBE with a Hubbard U",
  "state": "relaxed",
  "final_energy_ev_per_cell": -23.7,
  "spacegroup": "No. 123",
  "lattice_angstrom": [[3.4942, 0.0000, 0.0000], [0.0000, 5.3745, 0.0000], [0.0000, 0.0000, 3.4942]],
  "species": ["O", "O", "Al", "Cl", "Ni"],
  "frac_coords": [[0.5000, 0.0000, 0.0000], [0.0000, 0.0000, 0.5000], [0.0000, 0.0000, 0.0000], [0.0000, 0.5000, 0.0000], [0.5000, 0.5000, 0.5000]]
}